Entry 1:
Compound: CsNa2SnPt
Source: Alexandria
Functional: PBE
Structure: optimized geometry

The energy of formation is -0.241 eV/atom.

Unit cell a=5.784 b=5.784 c=5.109 alpha=90.00 beta=90.00 gamma=90.00
Fractional coordinates of all 5 atoms:
Cs (0.000, 0.000, 0.000)
Na (0.000, 0.500, 0.500)
Na (0.500, 0.000, 0.500)
Sn (0.500, 0.500, 0.000)
Pt (0.500, 0.500, 0.500)

Entry 2:
Compound: CsNaSr2Pt
Source: Alexandria
Functional: PBE
Structure: optimized geometry

The energy of formation is -0.220 eV/atom.

Unit cell a=5.964 b=5.964 c=6.433 alpha=90.00 beta=90.00 gamma=90.00
Fractional coordinates of all 5 atoms:
Cs (0.000, 0.000, 0.000)
Na (0.500, 0.500, 0.000)
Sr (0.000, 0.500, 0.500)
Sr (0.500, 0.000, 0.500)
Pt (0.500, 0.500, 0.500)

Entry 3:
Compound: CsNaSr2Pt
Source: Alexandria
Functional: PBE
Structure: optimized geometry

The energy of formation is -0.219 eV/atom.

Unit cell a=5.985 b=5.985 c=6.856 alpha=90.00 beta=90.00 gamma=90.00
Fractional coordinates of all 5 atoms:
Cs (0.000, 0.000, 0.000)
Na (0.500, 0.500, 0.000)
Sr (0.000, 0.500, 0.500)
Sr (0.500, 0.000, 0.500)
Pt (0.000, 0.000, 0.500)

Entry 4:
Compound: CsNa2SrPt
Source: Alexandria
Functional: PBE
Structure: optimized geometry

The energy of formation is -0.097 eV/atom.

Unit cell a=6.037 b=6.037 c=5.767 alpha=90.00 beta=90.00 gamma=90.00
Fractional coordinates of all 5 atoms:
Cs (0.000, 0.000, 0.000)
Na (0.000, 0.500, 0.500)
Na (0.500, 0.000, 0.500)
Sr (0.500, 0.500, 0.000)
Pt (0.500, 0.500, 0.500)

Entry 5:
Compound: Cs2NaTaPt
Source: Alexandria
Functional: PBE
Structure: optimized geometry

The energy of formation is 1.480 eV/atom.

Unit cell a=6.647 b=6.647 c=5.052 alpha=90.00 beta=90.00 gamma=90.00
Fractional coordinates of all 5 atoms:
Cs (0.000, 0.500, 0.000)
Cs (0.500, 0.000, 0.000)
Na (0.000, 0.000, 0.000)
Ta (0.500, 0.500, 0.500)
Pt (0.000, 0.000, 0.500)

Entry 6:
Compound: CsNaTcPt2
Source: Alexandria
Functional: PBE
Structure: optimized geometry

The energy of formation is 1.646 eV/atom.

Unit cell a=5.051 b=5.051 c=5.166 alpha=90.00 beta=90.00 gamma=90.00
Fractional coordinates of all 5 atoms:
Cs (0.000, 0.000, 0.000)
Na (0.000, 0.000, 0.500)
Tc (0.500, 0.500, 0.000)
Pt (0.000, 0.500, 0.500)
Pt (0.500, 0.000, 0.500)